Record 1
# PBE-GGA NaTlICl, optimized geometry
# E above lowest polymorph in eV per atom: 0.111
# E_form (uncorrected) in eV per atom: -1.028
# DOS(E_F) in states/eV/cell: 0.0
# Calculated volume in Å³/cell: 126
# Calculated density in Mg/m³: 5.12
data_NaTlICl
_chemical_formula_sum 'Na1 Tl1 I1 Cl1'
_cell_length_a 5.633
_cell_length_b 5.633
_cell_length_c 5.633
_cell_angle_alpha 60.00
_cell_angle_beta 60.00
_cell_angle_gamma 60.00
_space_group_name_H-M_alt 'P 1'
_space_group_IT_number 1
loop_
_space_group_symop_operation_xyz
'x,y,z'
loop_
_atom_site_label
_atom_site_type_symbol
_atom_site_fract_x
_atom_site_fract_y
_atom_site_fract_z
_atom_site_occupancy
I1 I 0.500 0.500 0.500 1
Na1 Na 0.250 0.250 0.250 1
Tl1 Tl 0.750 0.750 0.750 1
Cl1 Cl 0.000 0.000 0.000 1

---

Record 2
# PBE-GGA Na2Tl3I4Cl2, optimized geometry
# E_form (uncorrected) in eV per atom: -0.816
# DOS(E_F) in states/eV/cell: 7.7
# Calculated volume in Å³/cell: 451
# Calculated density in Mg/m³: 4.55
data_Na2Tl3I4Cl2
_chemical_formula_sum 'Na2 Tl3 I4 Cl2'
_cell_length_a 6.122
_cell_length_b 6.122
_cell_length_c 12.798
_cell_angle_alpha 103.84
_cell_angle_beta 103.84
_cell_angle_gamma 90.00
_space_group_name_H-M_alt 'P 1'
_space_group_IT_number 1
loop_
_space_group_symop_operation_xyz
'x,y,z'
loop_
_atom_site_label
_atom_site_type_symbol
_atom_site_fract_x
_atom_site_fract_y
_atom_site_fract_z
_atom_site_occupancy
Na1 Na 0.384 0.384 0.768 1
Na2 Na 0.616 0.616 0.232 1
Tl1 Tl 0.000 0.000 0.000 1
Tl2 Tl 0.164 0.164 0.328 1
Tl3 Tl 0.836 0.836 0.672 1
I1 I 0.413 0.913 0.827 1
I2 I 0.913 0.413 0.827 1
I3 I 0.087 0.587 0.173 1
I4 I 0.587 0.087 0.173 1
Cl1 Cl 0.276 0.276 0.552 1
Cl2 Cl 0.724 0.724 0.448 1

---

Record 3
# PBE-GGA NaTlICl, optimized geometry
# E above lowest polymorph in eV per atom: 0.000
# E_form (uncorrected) in eV per atom: -1.138
# DOS(E_F) in states/eV/cell: 0.0
# Calculated volume in Å³/cell: 135
# Calculated density in Mg/m³: 4.80
data_NaTlICl
_chemical_formula_sum 'Na1 Tl1 I1 Cl1'
_cell_length_a 4.419
_cell_length_b 4.419
_cell_length_c 8.371
_cell_angle_alpha 89.99
_cell_angle_beta 105.31
_cell_angle_gamma 120.01
_space_group_name_H-M_alt 'P 1'
_space_group_IT_number 1
loop_
_space_group_symop_operation_xyz
'x,y,z'
loop_
_atom_site_label
_atom_site_type_symbol
_atom_site_fract_x
_atom_site_fract_y
_atom_site_fract_z
_atom_site_occupancy
Na1 Na 0.161 0.978 0.154 1
Tl1 Tl 0.461 0.129 0.606 1
I1 I 0.317 0.556 0.889 1
Cl1 Cl 0.939 0.367 0.322 1

---

Record 4
# PBE-GGA NaUICl4, optimized geometry
# E_form (uncorrected) in eV per atom: -1.576
# DOS(E_F) in states/eV/cell: 9.9
# Calculated volume in Å³/cell: 553
# Calculated density in Mg/m³: 3.18
data_NaUICl4
_chemical_formula_sum 'Na2 U2 I2 Cl8'
_cell_length_a 7.661
_cell_length_b 7.661
_cell_length_c 10.834
_cell_angle_alpha 70.51
_cell_angle_beta 70.51
_cell_angle_gamma 72.90
_space_group_name_H-M_alt 'P 1'
_space_group_IT_number 1
loop_
_space_group_symop_operation_xyz
'x,y,z'
loop_
_atom_site_label
_atom_site_type_symbol
_atom_site_fract_x
_atom_site_fract_y
_atom_site_fract_z
_atom_site_occupancy
Na1 Na 0.617 0.617 0.614 1
Na2 Na 0.383 0.383 0.386 1
U1 U 0.136 0.136 0.780 1
U2 U 0.864 0.864 0.220 1
I1 I 0.139 0.139 0.065 1
I2 I 0.861 0.861 0.935 1
Cl1 Cl 0.133 0.133 0.545 1
Cl2 Cl 0.867 0.867 0.455 1
Cl3 Cl 0.155 0.587 0.213 1
Cl4 Cl 0.630 0.630 0.339 1
Cl5 Cl 0.413 0.845 0.787 1
Cl6 Cl 0.587 0.155 0.213 1
Cl7 Cl 0.370 0.370 0.661 1
Cl8 Cl 0.845 0.413 0.787 1

---

Record 5
# PBE-GGA NaZnICl2, optimized geometry
# E_form (uncorrected) in eV per atom: -1.010
# Calculated volume in Å³/cell: 139
# Calculated density in Mg/m³: 3.42
data_NaZnICl2
_chemical_formula_sum 'Na1 Zn1 I1 Cl2'
_cell_length_a 4.847
_cell_length_b 4.847
_cell_length_c 5.910
_cell_angle_alpha 90.00
_cell_angle_beta 90.00
_cell_angle_gamma 90.00
_space_group_name_H-M_alt 'P 1'
_space_group_IT_number 1
loop_
_space_group_symop_operation_xyz
'x,y,z'
loop_
_atom_site_label
_atom_site_type_symbol
_atom_site_fract_x
_atom_site_fract_y
_atom_site_fract_z
_atom_site_occupancy
I1 I 0.000 0.000 0.500 1
Na1 Na 0.500 0.500 0.500 1
Zn1 Zn 0.000 0.000 0.000 1
Cl1 Cl 0.000 0.500 0.000 1
Cl2 Cl 0.500 0.000 0.000 1

---

Record 6
# PBE-GGA NaZnI2Cl, optimized geometry
# E_form (uncorrected) in eV per atom: -0.796
# DOS(E_F) in states/eV/cell: 0.7
# Calculated volume in Å³/cell: 160
# Calculated density in Mg/m³: 3.92
data_NaZnI2Cl
_chemical_formula_sum 'Na1 Zn1 I2 Cl1'
_cell_length_a 5.782
_cell_length_b 5.782
_cell_length_c 4.784
_cell_angle_alpha 90.00
_cell_angle_beta 90.00
_cell_angle_gamma 90.00
_space_group_name_H-M_alt 'P 1'
_space_group_IT_number 1
loop_
_space_group_symop_operation_xyz
'x,y,z'
loop_
_atom_site_label
_atom_site_type_symbol
_atom_site_fract_x
_atom_site_fract_y
_atom_site_fract_z
_atom_site_occupancy
I1 I 0.000 0.500 0.000 1
I2 I 0.500 0.000 0.000 1
Na1 Na 0.500 0.500 0.500 1
Zn1 Zn 0.000 0.000 0.000 1
Cl1 Cl 0.000 0.000 0.500 1

---

Record 7
# PBE-GGA NbI5Cl, optimized geometry
# E_form (uncorrected) in eV per atom: -0.282
# DOS(E_F) in states/eV/cell: 2.8
# Calculated volume in Å³/cell: 428
# Calculated density in Mg/m³: 2.96
data_NbI5Cl
_chemical_formula_sum 'Nb1 I5 Cl1'
_cell_length_a 9.805
_cell_length_b 8.338
_cell_length_c 8.338
_cell_angle_alpha 80.60
_cell_angle_beta 53.98
_cell_angle_gamma 53.98
_space_group_name_H-M_alt 'P 1'
_space_group_IT_number 1
loop_
_space_group_symop_operation_xyz
'x,y,z'
loop_
_atom_site_label
_atom_site_type_symbol
_atom_site_fract_x
_atom_site_fract_y
_atom_site_fract_z
_atom_site_occupancy
Nb1 Nb 0.924 0.576 0.576 1
I1 I 0.997 0.751 0.254 1
I2 I 0.264 0.236 0.236 1
I3 I 0.998 0.254 0.751 1
I4 I 0.520 0.760 0.760 1
I5 I 0.960 0.760 0.760 1
Cl1 Cl 0.868 0.132 0.132 1

---

Record 8
# PBE-GGA NbI3Cl, optimized geometry
# E above lowest polymorph in eV per atom: 0.523
# E_form (uncorrected) in eV per atom: -0.086
# DOS(E_F) in states/eV/cell: 2.5
# Calculated volume in Å³/cell: 167
# Calculated density in Mg/m³: 5.06
data_NbI3Cl
_chemical_formula_sum 'Nb1 I3 Cl1'
_cell_length_a 5.508
_cell_length_b 5.508
_cell_length_c 5.508
_cell_angle_alpha 90.00
_cell_angle_beta 90.00
_cell_angle_gamma 90.00
_space_group_name_H-M_alt 'P 1'
_space_group_IT_number 1
loop_
_space_group_symop_operation_xyz
'x,y,z'
loop_
_atom_site_label
_atom_site_type_symbol
_atom_site_fract_x
_atom_site_fract_y
_atom_site_fract_z
_atom_site_occupancy
I1 I 0.000 0.500 0.000 1
I2 I 0.000 0.000 0.500 1
I3 I 0.500 0.000 0.000 1
Nb1 Nb 0.000 0.000 0.000 1
Cl1 Cl 0.500 0.500 0.500 1

---

Record 9
# PBE-GGA NbICl, optimized geometry
# E above lowest polymorph in eV per atom: 0.301
# E_form (uncorrected) in eV per atom: -0.398
# DOS(E_F) in states/eV/cell: 8.2
# Calculated volume in Å³/cell: 363
# Calculated density in Mg/m³: 4.67
data_NbICl
_chemical_formula_sum 'Nb4 I4 Cl4'
_cell_length_a 6.975
_cell_length_b 11.643
_cell_length_c 7.042
_cell_angle_alpha 140.56
_cell_angle_beta 90.00
_cell_angle_gamma 90.00
_space_group_name_H-M_alt 'P 1'
_space_group_IT_number 1
loop_
_space_group_symop_operation_xyz
'x,y,z'
loop_
_atom_site_label
_atom_site_type_symbol
_atom_site_fract_x
_atom_site_fract_y
_atom_site_fract_z
_atom_site_occupancy
Nb1 Nb 0.652 0.568 0.063 1
Nb2 Nb 0.848 0.068 0.063 1
Nb3 Nb 0.348 0.432 0.937 1
Nb4 Nb 0.152 0.932 0.937 1
I1 I 0.361 0.649 0.880 1
I2 I 0.861 0.851 0.120 1
I3 I 0.639 0.351 0.120 1
I4 I 0.139 0.149 0.880 1
Cl1 Cl 0.371 0.150 0.382 1
Cl2 Cl 0.129 0.650 0.382 1
Cl3 Cl 0.629 0.850 0.618 1
Cl4 Cl 0.871 0.350 0.618 1

---

Record 10
# PBE-GGA NbICl, optimized geometry
# E above lowest polymorph in eV per atom: 0.000
# E_form (uncorrected) in eV per atom: -0.699
# DOS(E_F) in states/eV/cell: 1.4
# Calculated volume in Å³/cell: 176
# Calculated density in Mg/m³: 4.81
data_NbICl
_chemical_formula_sum 'Nb2 I2 Cl2'
_cell_length_a 3.619
_cell_length_b 6.343
_cell_length_c 8.391
_cell_angle_alpha 109.87
_cell_angle_beta 102.45
_cell_angle_gamma 90.00
_space_group_name_H-M_alt 'P 1'
_space_group_IT_number 1
loop_
_space_group_symop_operation_xyz
'x,y,z'
loop_
_atom_site_label
_atom_site_type_symbol
_atom_site_fract_x
_atom_site_fract_y
_atom_site_fract_z
_atom_site_occupancy
Cl1 Cl 0.368 0.679 0.735 1
Cl2 Cl 0.632 0.321 0.265 1
Nb1 Nb 0.242 0.327 0.484 1
Nb2 Nb 0.758 0.673 0.516 1
I1 I 0.858 0.170 0.716 1
I2 I 0.142 0.830 0.284 1

---

One value per record, in order, for size of the total moment: 0.00; 0.00; 0.00; 4.00; 0.00; 0.00; 0.99; 0.00; 0.62; 0.00 μB/cell.